[1]
This record from Alexandria via LeMat-Bulk describes a geometry-optimized Tc2BS structure. The functional is PBEsol.

Calculated values
DOS(E_F) in states/eV/cell: 9.20
Final energy in eV/cell: -135.7
Energy relative to the elements, uncorrected in meV per atom: 4
Total moment in μB per formula unit: 0.0

abc: 5.6102 5.6102 5.6102
angles: 90.00 90.00 90.00
Space group Fm-3m (No. 225)
Unique sites:
Tc 0.2500 0.2500 0.2500 x8
B 0.0000 0.0000 0.0000 x4
S 0.0000 0.0000 0.5000 x4



[2]
This record from Alexandria via LeMat-Bulk describes a geometry-optimized BTeS2 structure. The functional is PBEsol.

Calculated values
DOS(E_F) in states/eV/cell: 7.03
Final energy in eV/cell: -59.3
Energy relative to the elements, uncorrected in meV per atom: 1119
Total moment in μB per formula unit: 0.0

abc: 6.4044 6.4044 6.4044
angles: 90.00 90.00 90.00
Space group Fm-3m (No. 225)
Unique sites:
B 0.0000 0.0000 0.0000 x4
Te 0.0000 0.0000 0.5000 x4
S 0.2500 0.2500 0.2500 x8



[3]
This record from Alexandria via LeMat-Bulk describes a geometry-optimized TiTlB2S structure. The functional is PBEsol.

Calculated values
DOS(E_F) in states/eV/cell: 4.68
Final energy in eV/cell: -22.1
Energy relative to the elements, uncorrected in meV per atom: 1454
Total moment in μB per formula unit: 0.6

abc: 3.9056 3.9056 5.3465
angles: 90.00 90.00 90.00
Space group P4/mmm (No. 123)
Unique sites:
Ti 0.0000 0.0000 0.0000 x1
Tl 0.5000 0.5000 0.0000 x1
B 0.0000 0.5000 0.5000 x2
S 0.5000 0.5000 0.5000 x1



[4]
This record from Alexandria via LeMat-Bulk describes a geometry-optimized Tl3B3S10 structure. The functional is PBEsol.

Calculated values
DOS(E_F) in states/eV/cell: 0.00
Final energy in eV/cell: -157.5
Energy relative to the elements, uncorrected in meV per atom: -375
Total moment in μB per formula unit: 0.0

abc: 6.7445 7.6419 13.6887
angles: 103.94 94.19 94.04
Space group P-1 (No. 2)
Unique sites:
Tl 0.0183 0.3800 0.2924 x2
Tl 0.2592 0.9572 0.3461 x2
Tl 0.3297 0.6718 0.9806 x2
B 0.1037 0.1191 0.9153 x2
B 0.2601 0.2174 0.7394 x2
B 0.3643 0.4139 0.5872 x2
S 0.0703 0.2925 0.8370 x2
S 0.1425 0.2412 0.0544 x2
S 0.1452 0.0244 0.1234 x2
S 0.1644 0.2405 0.6088 x2
S 0.2296 0.5598 0.5137 x2
S 0.3002 0.9690 0.7293 x2
S 0.3370 0.9977 0.8843 x2
S 0.4572 0.7362 0.4871 x2
S 0.4771 0.5624 0.7149 x2
S 0.4813 0.6504 0.2194 x2



[5]
This record from Alexandria via LeMat-Bulk describes a geometry-optimized ZnB2S2 structure. The functional is PBEsol.

Calculated values
DOS(E_F) in states/eV/cell: 2.32
Final energy in eV/cell: -43.8
Energy relative to the elements, uncorrected in meV per atom: 499
Total moment in μB per formula unit: 0.0

abc: 4.2092 4.2092 6.4338
angles: 90.00 90.00 90.00
Space group I4/mmm (No. 139)
Unique sites:
Zn 0.0000 0.0000 0.0000 x2
B 0.0000 0.0000 0.3629 x4
S 0.0000 0.5000 0.2500 x4



[6]
This record from Alexandria via LeMat-Bulk describes a geometry-optimized Zr2BS structure. The functional is PBEsol.

Calculated values
DOS(E_F) in states/eV/cell: 8.54
Final energy in eV/cell: -126.1
Energy relative to the elements, uncorrected in meV per atom: -488
Total moment in μB per formula unit: 0.0

abc: 5.4784 5.4784 10.9014
angles: 90.00 90.00 90.00
Space group I-42d (No. 122)
Unique sites:
Zr 0.2063 0.2500 0.1250 x8
B 0.0000 0.0000 0.0000 x4
S 0.0000 0.0000 0.5000 x4